Entry 1:
DFT (GGA-PBE) results for an optimized crystal structure of KNiPb3.

Structure (POSCAR):
```
KNiPb3
1.0
5.3229 0.0000 0.0000
0.0000 5.3229 0.0000
0.0000 0.0000 5.3229
K Ni Pb
1 1 3
Direct
0.0000 0.0000 0.0000 K
0.5000 0.5000 0.5000 Ni
0.0000 0.5000 0.5000 Pb
0.5000 0.0000 0.5000 Pb
0.5000 0.5000 0.0000 Pb
```

The polymorph energy (0 for the lowest one) is 0.000 eV per formula unit. The symmetry is Pm-3m.

Entry 2:
DFT (GGA-PBE) results for an optimized crystal structure of Cs2SrI2.

Structure (POSCAR):
```
Cs2SrI2
1.0
10.3325 0.0000 0.0000
0.0000 10.3325 0.0000
0.0000 0.0000 5.1427
Cs Sr I
4 2 4
Direct
0.1475 0.3525 0.0000 Cs
0.3525 0.8525 0.0000 Cs
0.6475 0.1475 0.0000 Cs
0.8525 0.6475 0.0000 Cs
0.0000 0.0000 0.5000 Sr
0.5000 0.5000 0.5000 Sr
0.1568 0.6568 0.5000 I
0.3432 0.1568 0.5000 I
0.6568 0.8432 0.5000 I
0.8432 0.3432 0.5000 I
```

The value obtained for the uncorrected formation energy is -1.02 eV/atom. The symmetry is P4/mbm.

Entry 3:
DFT (GGA-PBE) results for an optimized crystal structure of Ba2CoIr.

Structure (POSCAR):
```
Ba2CoIr
1.0
-4.2466 4.2466 3.2216
4.2466 -4.2466 3.2216
4.2466 4.2466 -3.2216
Ba Co Ir
4 2 2
Direct
0.1045 0.6250 0.9795 Ba
0.3750 0.3545 0.4795 Ba
0.6455 0.1250 0.0205 Ba
0.8750 0.8955 0.5205 Ba
0.2500 0.7500 0.5000 Co
0.5000 0.5000 0.0000 Co
0.0000 0.0000 0.0000 Ir
0.7500 0.2500 0.5000 Ir
```

The polymorph energy (0 for the lowest one) is 3.190 eV per formula unit. The symmetry is I-42d.

Entry 4:
DFT (GGA-PBE) results for an optimized crystal structure of BaAu2Cl.

Structure (POSCAR):
```
BaAu2Cl
1.0
2.5522 1.4735 5.0445
-2.5522 1.4735 5.0445
0.0000 -2.9470 5.0445
Ba Au Cl
1 2 1
Direct
0.0000 0.0000 0.0000 Ba
0.2208 0.2208 0.2208 Au
0.7792 0.7792 0.7792 Au
0.5000 0.5000 0.5000 Cl
```

The value obtained for the uncorrected formation energy is -0.45 eV/atom. The polymorph energy (0 for the lowest one) is 2.291 eV per formula unit. The symmetry is R-3m.

Entry 5:
DFT (GGA-PBE) results for an optimized crystal structure of Ca8Cu2Ag.

Structure (POSCAR):
```
Ca8Cu2Ag
1.0
4.5370 -6.7424 0.0000
4.5370 6.7424 0.0000
-1.7408 0.0000 5.8651
Ca Cu Ag
8 2 1
Direct
0.0000 0.0000 0.0000 Ca
0.0328 0.2958 0.5881 Ca
0.1389 0.5933 0.1859 Ca
0.2958 0.0328 0.5881 Ca
0.4409 0.7025 0.7771 Ca
0.5933 0.1389 0.1859 Ca
0.7025 0.4409 0.7771 Ca
0.7394 0.7394 0.3809 Ca
0.0585 0.6819 0.6930 Cu
0.6819 0.0585 0.6930 Cu
0.3698 0.3698 0.3372 Ag
```

The symmetry is Cm. As for the electronic total energy: -2.517 eV per atom.

Entry 6:
DFT (GGA-PBE) results for an optimized crystal structure of Al2AuC.

Structure (POSCAR):
```
Al2AuC
1.0
-2.8234 2.8234 4.1146
2.8234 -2.8234 4.1146
2.8234 2.8234 -4.1146
Al Au C
4 2 2
Direct
0.0279 0.6250 0.9029 Al
0.3750 0.2779 0.4029 Al
0.7221 0.1250 0.0971 Al
0.8750 0.9721 0.5971 Al
0.2500 0.7500 0.5000 Au
0.5000 0.5000 0.0000 Au
0.0000 0.0000 0.0000 C
0.7500 0.2500 0.5000 C
```

The symmetry is I-42d. As for the electronic total energy: -4.946 eV per atom.

Entry 7:
DFT (GGA-PBE) results for an optimized crystal structure of ScSnAu2.

Structure (POSCAR):
```
ScSnAu2
1.0
1.8489 1.0675 7.6499
-1.8489 1.0675 7.6499
0.0000 -2.1350 7.6499
Sc Sn Au
1 1 2
Direct
0.0000 0.0000 0.0000 Sc
0.8339 0.8339 0.8339 Sn
0.4131 0.4131 0.4131 Au
0.5876 0.5876 0.5876 Au
```

The symmetry is R3m. As for the electronic total energy: -4.648 eV per atom.

Entry 8:
DFT (GGA-PBE) results for an optimized crystal structure of La11Tb9Nd4.

Structure (POSCAR):
```
La11Tb9Nd4
1.0
8.6357 -13.0296 0.0000
8.6357 13.0296 0.0000
0.0000 0.0000 3.7524
La Tb Nd
11 9 4
Direct
0.0000 0.0000 0.0000 La
0.0447 0.4066 0.0000 La
0.1585 0.8415 0.0000 La
0.2908 0.2908 0.0000 La
0.3670 0.6330 0.0000 La
0.4066 0.0447 0.0000 La
0.5934 0.9553 0.0000 La
0.6330 0.3670 0.0000 La
0.7092 0.7092 0.0000 La
0.8415 0.1585 0.0000 La
0.9553 0.5934 0.0000 La
0.0660 0.2117 0.5000 Tb
0.1640 0.6343 0.5000 Tb
0.2117 0.0660 0.5000 Tb
0.3657 0.8360 0.5000 Tb
0.5000 0.5000 0.5000 Tb
0.6343 0.1640 0.5000 Tb
0.7883 0.9340 0.5000 Tb
0.8360 0.3657 0.5000 Tb
0.9340 0.7883 0.5000 Tb
0.2437 0.4451 0.5000 Nd
0.4451 0.2437 0.5000 Nd
0.5549 0.7563 0.5000 Nd
0.7563 0.5549 0.5000 Nd
```

The symmetry is Cmmm. As for the electronic total energy: -4.723 eV per atom.

Entry 9:
DFT (GGA-PBE) results for an optimized crystal structure of Ca2PrAu3.

Structure (POSCAR):
```
Ca2PrAu3
1.0
5.2148 0.0000 0.0000
-2.6074 4.5162 0.0000
0.0000 0.0000 6.3217
Ca Pr Au
2 1 3
Direct
0.3333 0.6667 0.1569 Ca
0.6667 0.3333 0.8431 Ca
0.0000 0.0000 0.5000 Pr
0.0000 0.0000 0.0000 Au
0.3333 0.6667 0.6511 Au
0.6667 0.3333 0.3489 Au
```

The polymorph energy (0 for the lowest one) is 0.000 eV per formula unit. The symmetry is P-3m1.

Entry 10:
DFT (GGA-PBE) results for an optimized crystal structure of AcTlInGe.

Structure (POSCAR):
```
AcTlInGe
1.0
0.0000 3.8586 3.8586
3.8586 0.0000 3.8586
3.8586 3.8586 0.0000
Ac Tl In Ge
1 1 1 1
Direct
0.0000 0.0000 0.0000 Ac
0.7500 0.7500 0.7500 Tl
0.5000 0.5000 0.5000 In
0.2500 0.2500 0.2500 Ge
```

The symmetry is F-43m. As for the electronic total energy: -3.655 eV per atom.

Entry 11:
DFT (GGA-PBE) results for an optimized crystal structure of RbLaP2S.

Structure (POSCAR):
```
RbLaP2S
1.0
5.7508 0.0000 0.0000
0.0000 5.7508 0.0000
0.0000 0.0000 5.5867
Rb La P S
1 1 2 1
Direct
0.0000 0.0000 0.0000 Rb
0.5000 0.5000 0.5000 La
0.0000 0.5000 0.5000 P
0.5000 0.0000 0.5000 P
0.5000 0.5000 0.0000 S
```

The value obtained for the uncorrected formation energy is -0.17 eV/atom. The polymorph energy (0 for the lowest one) is 0.000 eV per formula unit. The symmetry is P4/mmm.

Entry 12:
DFT (GGA-PBE) results for an optimized crystal structure of Na2NdSiSe4.

Structure (POSCAR):
```
Na2NdSiSe4
1.0
-3.9737 4.2659 5.8686
3.9737 -4.2659 5.8686
3.9737 4.2659 -5.8686
Na Nd Si Se
4 2 2 8
Direct
0.0000 0.0000 0.0000 Na
0.5000 0.0000 0.0000 Na
0.5000 0.0000 0.5000 Na
0.5000 0.5000 0.5000 Na
0.0000 0.5000 0.5000 Nd
0.5000 0.5000 0.0000 Nd
0.0000 0.0000 0.5000 Si
0.0000 0.5000 0.0000 Si
0.2117 0.2496 0.9621 Se
0.2124 0.7504 0.4621 Se
0.2277 0.2262 0.4985 Se
0.2277 0.7292 0.0015 Se
0.7723 0.2708 0.9985 Se
0.7723 0.7738 0.5015 Se
0.7876 0.2496 0.5379 Se
0.7883 0.7504 0.0379 Se
```

The value obtained for the uncorrected formation energy is -1.03 eV/atom. The symmetry is Imma.

no.,DOS at the Fermi energy (states/eV/atom)
1,1.036
2,0.004
3,2.293
4,1.200
5,0.801
6,0.610
7,0.555
8,1.488
9,0.594
10,0.870
11,1.243
12,0.218